Record 1
Material: PrEr2Os
Method: DFT, PBE-GGA
State: optimized geometry

a b c (Å): 3.4100 3.4100 9.2612
angles (deg): 90.00 90.00 90.00
Space group P4/mmm (No. 123)
Inequivalent atoms, fractional coordinates:
Pr (0.0000, 0.0000, 0.0000) (multiplicity 1)
Er (0.5000, 0.5000, 0.3243) (multiplicity 2)
Os (0.0000, 0.0000, 0.5000) (multiplicity 1)

Summary:
energy above the lowest structure with this stoichiometry = 0.15 eV per formula unit
ΔE_f = -0.17 eV/atom

=====

Record 2
Material: PrErOs
Method: DFT, PBE-GGA
State: optimized geometry

a b c (Å): 6.8645 6.8645 6.8645
angles (deg): 90.00 90.00 90.00
Space group F-43m (No. 216)
Inequivalent atoms, fractional coordinates:
Pr (0.0000, 0.0000, 0.0000) (multiplicity 4)
Er (0.0000, 0.0000, 0.5000) (multiplicity 4)
Os (0.2500, 0.2500, 0.7500) (multiplicity 4)

Summary:
energy above the lowest structure with this stoichiometry = 0.05 eV per formula unit
ΔE_f = -0.11 eV/atom

=====

Record 3
Material: PrErOs
Method: DFT, PBE-GGA
State: optimized geometry

a b c (Å): 4.3300 6.1249 6.9424
angles (deg): 77.39 71.90 89.98
Space group P-1 (No. 2)
Inequivalent atoms, fractional coordinates:
Pr (0.1487, 0.3237, 0.2030) (multiplicity 2)
Er (0.3955, 0.1848, 0.7081) (multiplicity 2)
Os (0.2305, 0.8195, 0.0393) (multiplicity 2)

Summary:
energy above the lowest structure with this stoichiometry = 0.22 eV per formula unit
ΔE_f = -0.05 eV/atom

=====

Record 4
Material: PrErOs4
Method: DFT, PBE-GGA
State: optimized geometry

a b c (Å): 7.6396 7.6396 7.6396
angles (deg): 90.00 90.00 90.00
Space group F-43m (No. 216)
Inequivalent atoms, fractional coordinates:
Pr (0.0000, 0.0000, 0.0000) (multiplicity 4)
Er (0.2500, 0.2500, 0.7500) (multiplicity 4)
Os (0.1247, 0.1247, 0.3753) (multiplicity 16)

Summary:
ΔE_f = -0.15 eV/atom

=====

Record 5
Material: PrEr2Os
Method: DFT, PBE-GGA
State: optimized geometry

a b c (Å): 7.4917 9.0435 6.4139
angles (deg): 90.00 90.00 90.00
Space group Pnma (No. 62)
Inequivalent atoms, fractional coordinates:
Pr (0.0391, 0.2500, 0.1278) (multiplicity 4)
Er (0.1735, 0.0647, 0.6617) (multiplicity 8)
Os (0.1168, 0.7500, 0.4446) (multiplicity 4)

Summary:
energy above the lowest structure with this stoichiometry = 0.00 eV per formula unit
ΔE_f = -0.21 eV/atom

=====

Record 6
Material: PrEr2Os
Method: DFT, PBE-GGA
State: optimized geometry

a b c (Å): 3.4628 3.4628 32.8415
angles (deg): 90.00 90.00 120.00
Space group R-3m (No. 166, hexagonal axes)
Inequivalent atoms, fractional coordinates:
Pr (0.0000, 0.0000, 0.0000) (multiplicity 3)
Er (0.0000, 0.0000, 0.1072) (multiplicity 6)
Os (0.0000, 0.0000, 0.5000) (multiplicity 3)

Summary:
energy above the lowest structure with this stoichiometry = 1.72 eV per formula unit
ΔE_f = 0.22 eV/atom

=====

Fermi-level density of states (computed, states/eV/cell): 2.72 7.16 5.17 23.77 14.55 18.17